## Cr2GaGeO6 (PBE+U)

Data for crystalline Cr2GaGeO6 at its relaxed geometry.

a = 5.223 Å, b = 5.161 Å, c = 5.337 Å
α = 64.32°, β = 64.40°, γ = 57.89°
Each line ends with the local moment (μB).
Sites, in units of the cell vectors:
O  0.418  0.712  0.754  -0.02
O  0.710  0.110  0.749  -0.03
O  0.972  0.614  0.239  0.00
O  0.231  0.961  0.223  -0.03
O  0.604  0.203  0.241  -0.04
O  0.086  0.417  0.781  0.01
Ga  0.786  0.792  0.594  0.02
Cr  0.523  0.526  0.425  3.77
Cr  0.014  0.015  0.962  3.05
Ge  0.318  0.312  0.046  0.03

## Properties
VASP energy: -6.96 eV/atom
symmetry: No. 1